[1]
5
Lattice="5.1147 0.0000 0.0000 0.0000 5.1147 0.0000 0.0000 0.0000 3.9188" Properties=species:S:1:pos:R:3 comment="TcTeS2N | the Alexandria database | PBE | relaxed" de_polymorph_ev_per_atom=1.071 mass_density_g_cm3=4.92 formation_energy_uncorrected_ev_per_atom=1.4123 pbc="T T T"
S 2.5574 0.0000 0.0000
Te 0.0000 0.0000 0.0000
S 0.0000 2.5574 0.0000
Tc 2.5574 2.5574 1.9594
N 0.0000 0.0000 1.9594


[2]
5
Lattice="-1.9945 -2.7920 -1.7270 -1.4694 -1.0479 3.3910 -3.8310 3.1596 -0.6838" Properties=species:S:1:pos:R:3 comment="TiTcSN2 | the Alexandria database | PBE | relaxed" de_polymorph_ev_per_atom=0.294 mass_density_g_cm3=4.62 formation_energy_uncorrected_ev_per_atom=0.5941 pbc="T T T"
Tc -3.6475 -0.3402 0.4901
Ti 0.0000 0.0000 0.0000
S -1.9155 1.5798 -0.3419
N -0.9972 -1.3960 -0.8635
N -0.7347 -0.5239 1.6955


[3]
5
Lattice="3.8044 0.0000 0.0000 0.0000 3.8044 0.0000 0.0000 0.0000 4.9844" Properties=species:S:1:pos:R:3 comment="TiTcSN2 | the Alexandria database | PBE | relaxed" de_polymorph_ev_per_atom=0.000 mass_density_g_cm3=4.74 formation_energy_uncorrected_ev_per_atom=0.3001 pbc="T T T"
Tc 0.0000 0.0000 0.0000
S 0.0000 0.0000 2.4922
N 0.0000 1.9022 0.0000
N 1.9022 0.0000 0.0000
Ti 1.9022 1.9022 2.4922


[4]
5
Lattice="4.6997 0.0000 0.0000 0.0000 4.6997 0.0000 0.0000 0.0000 3.5947" Properties=species:S:1:pos:R:3 comment="VTcS2N | the Alexandria database | PBE | relaxed" de_polymorph_ev_per_atom=0.000 mass_density_g_cm3=4.75 formation_energy_uncorrected_ev_per_atom=0.4302 pbc="T T T"
S 2.3498 0.0000 0.0000
N 0.0000 0.0000 1.7973
V 0.0000 0.0000 0.0000
S 0.0000 2.3498 0.0000
Tc 2.3498 2.3498 1.7973


[5]
5
Lattice="-1.3888 1.5094 -3.1134 -1.4153 -3.3092 -0.9730 -4.1740 1.0832 2.3871" Properties=species:S:1:pos:R:3 comment="VTcSN2 | the Alexandria database | PBE | relaxed" de_polymorph_ev_per_atom=0.000 mass_density_g_cm3=5.07 formation_energy_uncorrected_ev_per_atom=0.6287 pbc="T T T"
Tc -3.4890 -0.3583 -0.8497
N -0.7076 -1.6546 -0.4865
S -2.0870 0.5416 1.1935
V 0.0000 0.0000 0.0000
N -0.6944 0.7547 -1.5567


[6]
5
Lattice="3.7793 0.0000 0.0000 0.0000 3.7793 0.0000 0.0000 0.0000 4.9526" Properties=species:S:1:pos:R:3 comment="VTcSN2 | the Alexandria database | PBE | relaxed" de_polymorph_ev_per_atom=0.137 mass_density_g_cm3=4.91 formation_energy_uncorrected_ev_per_atom=0.7657 pbc="T T T"
N 1.8897 0.0000 0.0000
N 0.0000 1.8897 0.0000
S 0.0000 0.0000 2.4763
Tc 0.0000 0.0000 0.0000
V 1.8897 1.8897 2.4763